Record 1
First-principles (PBE) data for crystalline NdDy2Si at its relaxed geometry, as listed in Alexandria via LeMat-Bulk.

Structure (POSCAR):
```
NdDy2Si
1.0
-3.577 0.463 -1.074
-1.118 -1.199 -3.388
-3.830 -8.900 2.323
Dy Nd Si
2 1 1
direct
0.062 0.062 0.813 Dy
0.270 0.270 0.189 Dy
0.501 0.501 0.497 Nd
0.666 0.666 0.001 Si
```

## Properties
- raw formation energy (eV per formula unit) = -0.7
- energy above the lowest structure with this stoichiometry (eV/atom) = 0.064
- space-group type = No. 160

Record 2
First-principles (PBE) data for crystalline Tb8ErSc2 at its relaxed geometry, as listed in Alexandria via LeMat-Bulk.

Structure (POSCAR):
```
Tb8ErSc2
1.0
5.545 1.599 0.000
2.574 8.479 0.000
1.287 4.240 7.933
Tb Er Sc
8 1 2
direct
0.293 0.427 0.000 Tb
0.707 0.573 0.000 Tb
0.174 0.663 0.240 Tb
0.500 0.208 0.584 Tb
0.826 0.097 0.240 Tb
0.174 0.903 0.760 Tb
0.826 0.337 0.760 Tb
0.500 0.792 0.416 Tb
0.500 0.000 0.000 Er
0.000 0.310 0.380 Sc
0.000 0.690 0.620 Sc
```

## Properties
- formation energy from the elements (eV per atom) = 0.17
- energy above the lowest structure with this stoichiometry (eV/atom) = 0.045
- space-group type = No. 12

Record 3
First-principles (PBE) data for crystalline La2MgSi4Pd3 at its relaxed geometry, as listed in Alexandria via LeMat-Bulk.

Structure (POSCAR):
```
La2MgSi4Pd3
1.0
-2.067 -3.599 1.072
3.200 -2.328 -1.646
4.780 0.017 9.271
Pd Si La Mg
3 4 2 1
direct
0.000 0.500 0.115 Pd
0.500 0.000 0.885 Pd
0.000 0.000 0.500 Pd
0.000 0.500 0.352 Si
0.500 0.500 0.000 Si
0.000 0.000 0.000 Si
0.500 0.000 0.648 Si
0.000 0.500 0.759 La
0.500 0.000 0.241 La
0.500 0.500 0.500 Mg
```

## Properties
- raw formation energy (eV per formula unit) = -8.2
- space-group type = No. 115

Record 4
First-principles (PBE) data for crystalline RbH6Br2N at its relaxed geometry, as listed in Alexandria via LeMat-Bulk.

Structure (POSCAR):
```
RbH6Br2N
1.0
-5.162 -3.718 -7.867
-4.851 -7.333 -5.006
-8.135 -4.149 -4.356
H N Br Rb
6 1 2 1
direct
0.917 0.266 0.919 H
0.266 0.919 0.917 H
0.548 0.755 0.548 H
0.919 0.917 0.266 H
0.755 0.548 0.548 H
0.548 0.548 0.755 H
0.019 0.019 0.019 N
0.770 0.770 0.770 Br
0.261 0.261 0.261 Br
0.498 0.498 0.498 Rb
```

## Properties
- space-group type = No. 160

Record 5
First-principles (PBE) data for crystalline KTaTe2N at its relaxed geometry, as listed in Alexandria via LeMat-Bulk.

Structure (POSCAR):
```
KTaTe2N
1.0
-1.535 -5.569 -1.091
4.856 -0.704 -3.236
2.223 -1.323 3.623
Te K N Ta
2 1 1 1
direct
0.000 0.500 0.000 Te
0.500 0.000 0.000 Te
0.000 0.000 0.000 K
0.000 0.000 0.500 N
0.500 0.500 0.500 Ta
```

## Properties
- raw formation energy (eV per formula unit) = 10.6
- energy above the lowest structure with this stoichiometry (eV/atom) = 2.421
- space-group type = No. 123

Record 6
First-principles (PBE) data for crystalline Na5CaF7 at its relaxed geometry, as listed in Alexandria via LeMat-Bulk.

Structure (POSCAR):
```
Na5CaF7
1.0
-1.195 1.201 2.801
4.934 -2.584 1.301
9.422 16.488 -3.049
F Ca Na
14 2 10
direct
0.910 0.819 0.112 F
0.364 0.729 0.537 F
0.563 0.127 0.750 F
0.807 0.613 0.819 F
0.437 0.875 0.250 F
0.091 0.183 0.612 F
0.636 0.273 0.037 F
0.195 0.389 0.181 F
0.092 0.185 0.887 F
0.806 0.612 0.681 F
0.908 0.815 0.387 F
0.365 0.731 0.963 F
0.635 0.270 0.463 F
0.193 0.387 0.319 F
0.795 0.590 0.251 Ca
0.206 0.411 0.750 Ca
0.542 0.084 0.352 Na
0.543 0.086 0.148 Na
0.725 0.450 0.927 Na
0.275 0.550 0.427 Na
0.277 0.553 0.073 Na
0.000 0.999 0.500 Na
0.458 0.915 0.648 Na
0.458 0.917 0.852 Na
0.001 0.002 0.000 Na
0.724 0.448 0.573 Na
```

## Properties
- raw formation energy (eV per formula unit) = -38.7
- space-group type = No. 8

Record 7
First-principles (PBE) data for crystalline LaEr2Sb at its relaxed geometry, as listed in Alexandria via LeMat-Bulk.

Structure (POSCAR):
```
LaEr2Sb
1.0
5.392 0.000 0.000
2.696 4.670 0.000
2.696 1.557 4.403
Er La Sb
2 1 1
direct
0.750 0.750 0.750 Er
0.250 0.250 0.250 Er
0.000 0.000 0.000 La
0.500 0.500 0.500 Sb
```

## Properties
- raw formation energy (eV per formula unit) = -1.0
- energy above the lowest structure with this stoichiometry (eV/atom) = 0.255
- space-group type = No. 225

Record 8
First-principles (PBE) data for crystalline RbSc2S at its relaxed geometry, as listed in Alexandria via LeMat-Bulk.

Structure (POSCAR):
```
RbSc2S
1.0
8.421 -5.860 5.695
10.557 -3.674 3.569
9.245 -2.406 6.814
Sc S Rb
2 1 1
direct
0.067 0.067 0.067 Sc
0.933 0.933 0.933 Sc
0.000 0.000 0.000 S
0.500 0.500 0.500 Rb
```

## Properties
- raw formation energy (eV per formula unit) = 0.3
- space-group type = No. 166

Record 9
First-principles (PBE) data for crystalline Nb2SnPC at its relaxed geometry, as listed in Alexandria via LeMat-Bulk.

Structure (POSCAR):
```
Nb2SnPC
1.0
-0.917 1.562 4.524
3.023 -1.552 1.149
2.457 4.106 -0.920
Sn Nb P C
1 2 1 1
direct
0.500 0.500 0.500 Sn
0.000 0.000 0.500 Nb
0.500 0.000 0.000 Nb
0.000 0.000 0.000 P
0.000 0.500 0.000 C
```

## Properties
- formation energy from the elements (eV per atom) = 0.68
- space-group type = No. 123

Record 10
First-principles (PBE) data for crystalline TlAu at its relaxed geometry, as listed in Alexandria via LeMat-Bulk.

Structure (POSCAR):
```
TlAu
1.0
-0.510 2.937 1.722
-2.305 1.693 -3.569
-5.493 -2.374 2.422
Au Tl
2 2
direct
0.000 0.000 0.033 Au
0.000 0.500 0.300 Au
0.500 0.000 0.470 Tl
0.500 0.500 0.864 Tl
```

## Properties
- formation energy from the elements (eV per atom) = 0.03
- space-group type = No. 51

Record 11
First-principles (PBE) data for crystalline AcPr4Y3Se8 at its relaxed geometry, as listed in Alexandria via LeMat-Bulk.

Structure (POSCAR):
```
AcPr4Y3Se8
1.0
8.430 0.000 0.000
0.000 8.492 0.038
-4.215 -4.211 5.964
Se Pr Ac Y
8 4 1 3
direct
0.254 0.742 0.507 Se
0.266 0.258 0.012 Se
0.746 0.258 0.493 Se
0.256 0.267 0.511 Se
0.746 0.258 0.012 Se
0.744 0.733 0.489 Se
0.254 0.742 0.988 Se
0.734 0.742 0.988 Se
0.000 0.000 0.500 Pr
0.500 0.000 0.500 Pr
0.000 0.000 0.000 Pr
0.500 0.000 0.000 Pr
0.000 0.500 0.000 Ac
0.500 0.500 0.000 Y
0.500 0.500 0.500 Y
0.000 0.500 0.500 Y
```

## Properties
- raw formation energy (eV per formula unit) = -28.8
- space-group type = No. 166

Record 12
First-principles (PBE) data for crystalline Ta2PbCl at its relaxed geometry, as listed in Alexandria via LeMat-Bulk.

Structure (POSCAR):
```
Ta2PbCl
1.0
-2.239 2.590 -0.232
-1.294 -0.845 3.064
5.358 4.958 3.630
Ta Pb Cl
2 1 1
direct
0.500 0.500 0.211 Ta
0.000 0.000 0.054 Ta
0.500 0.500 0.810 Pb
0.000 0.000 0.424 Cl
```

## Properties
- raw formation energy (eV per formula unit) = 0.7
- energy above the lowest structure with this stoichiometry (eV/atom) = 0.261
- space-group type = No. 99

Ρ for every record listed, in sequence, given in Mg/m³: 6.92, 7.46, 6.36, 2.44, 5.28, 2.77, 8.91, 2.49, 6.78, 13.11, 6.55, 10.46.
Calculated total energy for every record listed, in sequence, given in eV per cell: -20.12, -52.42, -56.88, -36.45, -16.95, -120.87, -19.13, -17.45, -35.37, -11.17, -99.29, -28.53.